No. 1
VASP calculation (PBE) on crystalline AlAsS3 at its relaxed geometry.

POSCAR file:
```
AlAsS3
1.0
8.2835 -1.6825 0.0000
8.2835 1.6825 0.0000
-5.4827 0.0000 10.2224
Al As S
2 2 6
Direct
0.1673 0.1673 0.4101 Al
0.8327 0.8327 0.5899 Al
0.4495 0.4495 0.2450 As
0.5505 0.5505 0.7550 As
0.1210 0.1210 0.9035 S
0.3133 0.3133 0.4339 S
0.4101 0.4101 0.7560 S
0.5899 0.5899 0.2440 S
0.6867 0.6867 0.5661 S
0.8790 0.8790 0.0965 S
```

Values from the calculation:
symmetry = C2/m
energy above the lowest structure with this stoichiometry = 0.030 eV/atom
formation energy without anion corrections = -52 kJ/mol of atoms
M_tot = 0.000 μB per atom



No. 2
VASP calculation (PBE) on crystalline ZnReAsSe2 at its relaxed geometry.

POSCAR file:
```
ZnReAsSe2
1.0
4.9350 0.0000 0.0000
0.0000 4.9350 0.0000
0.0000 0.0000 4.8561
Zn Re As Se
1 1 1 2
Direct
0.0000 0.0000 0.0000 Zn
0.5000 0.5000 0.5000 Re
0.5000 0.5000 0.0000 As
0.0000 0.5000 0.5000 Se
0.5000 0.0000 0.5000 Se
```

Values from the calculation:
symmetry = P4/mmm
energy above the lowest structure with this stoichiometry = 0.000 eV/atom
formation energy without anion corrections = 56 kJ/mol of atoms
M_tot = 0.000 μB per atom



Which value of formation energy without anion corrections does entry 2 give? 56 kJ/mol of atoms